No. 1
# Na5Os2Cl12 (GGA-PBE, relaxed)
data_Na5Os2Cl12
_chemical_formula_sum 'Na5 Os2 Cl12'
_space_group_name_H-M_alt 'P -1'
_space_group_IT_number 2
_cell_length_a 7.261
_cell_length_b 7.758
_cell_length_c 10.814
_cell_angle_alpha 71.20
_cell_angle_beta 78.43
_cell_angle_gamma 73.68
loop_
_space_group_symop_operation_xyz
'x,y,z'
'-x,-y,-z'
loop_
_atom_site_label
_atom_site_fract_x
_atom_site_fract_y
_atom_site_fract_z
Na1 0.000 0.000 0.000
Na2 0.244 0.466 0.051
Na3 0.465 0.133 0.821
Os1 0.154 0.013 0.466
Cl1 0.113 0.325 0.891
Cl2 0.143 0.313 0.454
Cl3 0.161 0.111 0.239
Cl4 0.286 0.923 0.659
Cl5 0.319 0.724 0.440
Cl6 0.392 0.783 0.991
# **Energy relative to the elements, uncorrected**: -1.103 eV per atom
# **E_tot**: -3.7990 eV/atom

No. 2
# Na2OsCl (GGA-PBE, relaxed)
data_Na2OsCl
_chemical_formula_sum 'Na8 Os4 Cl4'
_space_group_name_H-M_alt 'I -4 2 d'
_space_group_IT_number 122
_space_group_name_Hall 'I -4 2bw'
_cell_length_a 10.073
_cell_length_b 10.073
_cell_length_c 4.327
_cell_angle_alpha 90.00
_cell_angle_beta 90.00
_cell_angle_gamma 90.00
loop_
_atom_site_label
_atom_site_fract_x
_atom_site_fract_y
_atom_site_fract_z
Na1 0.100 0.250 0.125
Os1 0.000 0.000 0.500
Cl1 0.000 0.000 0.000
# **Energy relative to the elements, uncorrected**: 0.642 eV per atom
# **E_tot**: -3.2871 eV/atom

No. 3
# NaP2OsCl (GGA-PBE, relaxed)
data_NaP2OsCl
_chemical_formula_sum 'Na1 P2 Os1 Cl1'
_space_group_name_H-M_alt 'P 4/m m m'
_space_group_IT_number 123
_space_group_name_Hall '-P 4 2'
_cell_length_a 4.473
_cell_length_b 4.473
_cell_length_c 5.886
_cell_angle_alpha 90.00
_cell_angle_beta 90.00
_cell_angle_gamma 90.00
loop_
_atom_site_label
_atom_site_fract_x
_atom_site_fract_y
_atom_site_fract_z
Na1 0.000 0.000 0.000
P1 0.000 0.500 0.500
Os1 0.500 0.500 0.500
Cl1 0.500 0.500 0.000
# **Energy relative to the elements, uncorrected**: -0.024 eV per atom
# **E_tot**: -5.0668 eV/atom

Number 2 is which compound? Na2OsCl

Look up the E_tot of the first one. -3.7990 eV/atom